Here is a relaxed La6FeCl3O2 crystal from Alexandria via LeMat-Bulk. Energies are from PBE+U.

The structure in POSCAR format:
```
La6FeCl3O2
1.0
3.316 -5.778 0.000
3.316 5.778 0.000
-2.239 0.000 7.499
La Fe Cl O
6 1 3 2
Cartesian
-0.163 2.167 5.975
0.835 0.000 1.506
-0.163 -2.167 5.975
4.555 2.167 1.524
3.557 0.000 5.993
4.555 -2.167 1.524
3.316 0.000 0.000
-1.119 0.000 3.749
2.196 1.765 3.749
2.196 -1.765 3.749
3.316 3.839 0.000
3.316 -3.839 0.000
```

Results
Calculated total energy in Ha/atom: -0.213
SG: C2/m
D(E_F) in states/eV per atom: 0.58